Entry 1
SbIr2Cl after structural relaxation, computed with PBE-GGA.

Cell: 10.037 10.037 10.037 Å, 17.61 17.61 17.61°
Sites, in units of the cell vectors:
Sb1 0.000 0.000 0.000
Ir1 0.475 0.475 0.475
Ir2 0.742 0.742 0.742
Cl1 0.205 0.205 0.205

## Properties
* crystal system: trigonal
* symmetry: No. 160
* calculated volume: 20.19 Å³ per atom


Entry 2
SbIr2Cl after structural relaxation, computed with PBE-GGA.

Cell: 3.245 3.245 8.509 Å, 106.37 106.37 58.40°
Sites, in units of the cell vectors:
Sb1 0.000 0.000 0.000
Ir1 0.447 0.447 0.232
Ir2 0.553 0.553 0.768
Cl1 0.000 0.000 0.500

## Properties
* crystal system: monoclinic
* symmetry: No. 12
* calculated volume: 18.06 Å³ per atom


Entry 3
SbIr2Cl after structural relaxation, computed with PBE-GGA.

Cell: 6.437 6.437 6.437 Å, 153.83 141.74 46.95°
Sites, in units of the cell vectors:
Sb1 0.000 0.000 0.000
Ir1 0.204 0.704 0.500
Ir2 0.408 0.408 0.000
Cl1 0.710 0.210 0.500

## Properties
* crystal system: orthorhombic
* symmetry: No. 44
* calculated volume: 18.15 Å³ per atom


Entry 4
SbIr2Cl after structural relaxation, computed with PBE-GGA.

Cell: 3.247 3.247 6.975 Å, 90.00 90.00 90.00°
Sites, in units of the cell vectors:
Sb1 0.000 0.000 0.000
Ir1 0.500 0.500 0.205
Ir2 0.500 0.500 0.795
Cl1 0.000 0.000 0.500

## Properties
* crystal system: tetragonal
* symmetry: No. 123
* calculated volume: 18.38 Å³ per atom


Out of the structures above, which one is the least stable? Solution: entry 4.